(a)
# TiBi4 | Alexandria | PBE | relaxed
data_TiBi4
_cell_length_a 7.3710
_cell_length_b 13.5399
_cell_length_c 5.9103
_cell_angle_alpha 90.00
_cell_angle_beta 90.00
_cell_angle_gamma 90.00
_space_group_name_H-M_alt 'I b a m'
_space_group_IT_number 72
_space_group_name_Hall '-I 2 2c'
loop_
_atom_site_label
_atom_site_type_symbol
_atom_site_fract_x
_atom_site_fract_y
_atom_site_fract_z
Ti1 Ti 0.0000 0.0000 0.2500
Bi1 Bi 0.1564 0.1675 0.0000
Bi2 Bi 0.1729 0.4192 0.0000
# density of states at the Fermi level: 0.7163 states/eV/atom
# size of the total moment: 0.000 μB per cell


(b)
# TiBi4 | Alexandria | PBE | relaxed
data_TiBi4
_cell_length_a 5.4460
_cell_length_b 5.4460
_cell_length_c 5.4460
_cell_angle_alpha 90.00
_cell_angle_beta 90.00
_cell_angle_gamma 90.00
_space_group_name_H-M_alt 'P m -3 m'
_space_group_IT_number 221
_space_group_name_Hall '-P 4 2 3'
loop_
_atom_site_label
_atom_site_type_symbol
_atom_site_fract_x
_atom_site_fract_y
_atom_site_fract_z
Ti1 Ti 0.0000 0.0000 0.0000
Bi1 Bi 0.0000 0.0000 0.5000
Bi2 Bi 0.5000 0.5000 0.5000
# density of states at the Fermi level: 0.8775 states/eV/atom
# size of the total moment: 0.000 μB per cell


Tell me which of them is the least stable. Sure, it is (b).


(a)
# TiTlBi3 | Alexandria | PBE | relaxed
data_TiTlBi3
_cell_length_a 5.7457
_cell_length_b 5.7457
_cell_length_c 5.7457
_cell_angle_alpha 90.00
_cell_angle_beta 90.00
_cell_angle_gamma 90.00
_space_group_name_H-M_alt 'P m -3 m'
_space_group_IT_number 221
_space_group_name_Hall '-P 4 2 3'
loop_
_atom_site_label
_atom_site_type_symbol
_atom_site_fract_x
_atom_site_fract_y
_atom_site_fract_z
Ti1 Ti 0.0000 0.0000 0.0000
Tl1 Tl 0.5000 0.5000 0.5000
Bi1 Bi 0.0000 0.5000 0.5000
# density of states at the Fermi level: 2.9362 states/eV/atom
# size of the total moment: 0.037 μB per cell


(b)
# TiTlBi3 | Alexandria | PBE | relaxed
data_TiTlBi3
_cell_length_a 5.4857
_cell_length_b 5.4857
_cell_length_c 5.4857
_cell_angle_alpha 90.00
_cell_angle_beta 90.00
_cell_angle_gamma 90.00
_space_group_name_H-M_alt 'P m -3 m'
_space_group_IT_number 221
_space_group_name_Hall '-P 4 2 3'
loop_
_atom_site_label
_atom_site_type_symbol
_atom_site_fract_x
_atom_site_fract_y
_atom_site_fract_z
Ti1 Ti 0.0000 0.0000 0.0000
Tl1 Tl 0.5000 0.5000 0.5000
Bi1 Bi 0.0000 0.0000 0.5000
# density of states at the Fermi level: 0.6224 states/eV/atom
# size of the total moment: 0.000 μB per cell


Tell me which of them is the least stable. Sure, it is (a).


(a)
# Ti4TlBi | Alexandria | PBE | relaxed
data_Ti4TlBi
_cell_length_a 4.9765
_cell_length_b 9.2854
_cell_length_c 4.9731
_cell_angle_alpha 90.00
_cell_angle_beta 90.00
_cell_angle_gamma 90.00
_space_group_name_H-M_alt 'C m m m'
_space_group_IT_number 65
_space_group_name_Hall '-C 2 2'
loop_
_atom_site_label
_atom_site_type_symbol
_atom_site_fract_x
_atom_site_fract_y
_atom_site_fract_z
Ti1 Ti 0.0000 0.1735 0.0000
Ti2 Ti 0.0000 0.3257 0.5000
Tl1 Tl 0.0000 0.0000 0.5000
Bi1 Bi 0.0000 0.5000 0.0000
# density of states at the Fermi level: 0.9389 states/eV/atom
# size of the total moment: 0.000 μB per cell


(b)
# Ti4TlBi | Alexandria | PBE | relaxed
data_Ti4TlBi
_cell_length_a 5.2652
_cell_length_b 5.8467
_cell_length_c 7.7183
_cell_angle_alpha 90.00
_cell_angle_beta 97.18
_cell_angle_gamma 90.00
_space_group_name_H-M_alt 'P 1 21/m 1'
_space_group_IT_number 11
loop_
_space_group_symop_operation_xyz
'x,y,z'
'-x,-y,-z'
'-x,y+1/2,-z'
'x,-y+1/2,z'
loop_
_atom_site_label
_atom_site_type_symbol
_atom_site_fract_x
_atom_site_fract_y
_atom_site_fract_z
Ti1 Ti 0.0091 0.2500 0.0344
Ti2 Ti 0.1541 0.0013 0.6721
Ti3 Ti 0.2937 0.7500 0.2913
Tl1 Tl 0.5000 0.0000 0.0000
Bi1 Bi 0.3435 0.2500 0.3811
# density of states at the Fermi level: 1.2043 states/eV/atom
# size of the total moment: 1.249 μB per cell


Tell me which of them is the least stable. Sure, it is (b).


(a)
# Ti2TlBi | Alexandria | PBE | relaxed
data_Ti2TlBi
_cell_length_a 4.4498
_cell_length_b 4.4498
_cell_length_c 20.1280
_cell_angle_alpha 90.00
_cell_angle_beta 90.00
_cell_angle_gamma 90.00
_space_group_name_H-M_alt 'I -4 2 d'
_space_group_IT_number 122
_space_group_name_Hall 'I -4 2bw'
loop_
_atom_site_label
_atom_site_type_symbol
_atom_site_fract_x
_atom_site_fract_y
_atom_site_fract_z
Ti1 Ti 0.2316 0.2500 0.1250
Tl1 Tl 0.0000 0.0000 0.0000
Bi1 Bi 0.0000 0.0000 0.5000
# density of states at the Fermi level: 0.8019 states/eV/atom
# size of the total moment: 12.970 μB per cell


(b)
# Ti2TlBi | Alexandria | PBE | relaxed
data_Ti2TlBi
_cell_length_a 6.9723
_cell_length_b 6.9723
_cell_length_c 6.9723
_cell_angle_alpha 90.00
_cell_angle_beta 90.00
_cell_angle_gamma 90.00
_space_group_name_H-M_alt 'F m -3 m'
_space_group_IT_number 225
_space_group_name_Hall '-F 4 2 3'
loop_
_atom_site_label
_atom_site_type_symbol
_atom_site_fract_x
_atom_site_fract_y
_atom_site_fract_z
Ti1 Ti 0.2500 0.2500 0.2500
Tl1 Tl 0.0000 0.0000 0.0000
Bi1 Bi 0.0000 0.0000 0.5000
# density of states at the Fermi level: 1.3404 states/eV/atom
# size of the total moment: 0.000 μB per cell


Tell me which of them is the least stable. Sure, it is (a).